# 1
# GGA-PBE TbSm6DyEr2, relaxed
data_TbSm6DyEr2
_space_group_name_H-M_alt 'C 1 2/c 1'
_space_group_IT_number 15
_cell_length_a 9.179
_cell_length_b 15.159
_cell_length_c 9.598
_cell_angle_alpha 90.00
_cell_angle_beta 97.48
_cell_angle_gamma 90.00
loop_
_space_group_symop_operation_xyz
'x,y,z'
'-x,-y,-z'
'-x,y,-z+1/2'
'x,-y,z+1/2'
'x+1/2,y+1/2,z'
'-x+1/2,-y+1/2,-z'
'-x+1/2,y+1/2,-z+1/2'
'x+1/2,-y+1/2,z+1/2'
loop_
_atom_site_label
_atom_site_type_symbol
_atom_site_fract_x
_atom_site_fract_y
_atom_site_fract_z
Tb1 Tb 0.000 0.027 0.250
Sm1 Sm 0.062 0.180 0.945
Sm2 Sm 0.099 0.392 0.119
Sm3 Sm 0.211 0.225 0.315
Dy1 Dy 0.000 0.409 0.750
Er1 Er 0.249 0.050 0.546
# **N(E_F)**: 1.434 states/eV/atom
# **Raw total energy**: -181.934 eV per cell
# **E_form**: 0.119 eV per atom


# 2
# GGA-PBE WAuCl2, relaxed
data_WAuCl2
_space_group_name_H-M_alt 'P 4/m m m'
_space_group_IT_number 123
_space_group_name_Hall '-P 4 2'
_cell_length_a 2.958
_cell_length_b 2.958
_cell_length_c 9.500
_cell_angle_alpha 90.00
_cell_angle_beta 90.00
_cell_angle_gamma 90.00
loop_
_atom_site_label
_atom_site_type_symbol
_atom_site_fract_x
_atom_site_fract_y
_atom_site_fract_z
W1 W 0.000 0.000 0.000
Au1 Au 0.000 0.000 0.500
Cl1 Cl 0.500 0.500 0.159
# **N(E_F)**: 0.777 states/eV/atom
# **Raw total energy**: -17.974 eV per cell
# **E_form (uncorrected)**: 0.49 eV per atom


# 3
# GGA-PBE PuSiPt4, relaxed
data_PuSiPt4
_space_group_name_H-M_alt 'P -1'
_space_group_IT_number 2
_cell_length_a 4.614
_cell_length_b 5.513
_cell_length_c 8.856
_cell_angle_alpha 71.94
_cell_angle_beta 78.57
_cell_angle_gamma 89.96
loop_
_space_group_symop_operation_xyz
'x,y,z'
'-x,-y,-z'
loop_
_atom_site_label
_atom_site_type_symbol
_atom_site_fract_x
_atom_site_fract_y
_atom_site_fract_z
Pu1 Pu 0.250 0.199 0.000
Si1 Si 0.000 0.500 0.500
Si2 Si 0.500 0.000 0.500
Pt1 Pt 0.114 0.962 0.353
Pt2 Pt 0.168 0.538 0.209
Pt3 Pt 0.332 0.748 0.790
Pt4 Pt 0.386 0.315 0.647
# **N(E_F)**: 1.819 states/eV/atom
# **Raw total energy**: -94.628 eV per cell
# **E_form (uncorrected)**: -0.57 eV per atom


# 4
# GGA-PBE CrAgRu2, relaxed
data_CrAgRu2
_space_group_name_H-M_alt 'R 3 m'
_space_group_IT_number 160
_space_group_name_Hall 'R 3 -2"'
_cell_length_a 2.7153
_cell_length_b 2.7153
_cell_length_c 27.1263
_cell_angle_alpha 90.00
_cell_angle_beta 90.00
_cell_angle_gamma 120.00
loop_
_atom_site_label
_atom_site_type_symbol
_atom_site_fract_x
_atom_site_fract_y
_atom_site_fract_z
Cr1 Cr 0.0000 0.0000 0.0000
Ag1 Ag 0.0000 0.0000 0.2454
Ru1 Ru 0.0000 0.0000 0.4877
Ru2 Ru 0.0000 0.0000 0.7407
# **N(E_F)**: 0.934 states/eV/atom
# **Raw total energy**: -88.622 eV per cell
# **E_form**: 0.371 eV per atom


# 5
# GGA-PBE NdTiNi4, relaxed
data_NdTiNi4
_space_group_name_H-M_alt 'F -4 3 m'
_space_group_IT_number 216
_space_group_name_Hall 'F -4 2 3'
_cell_length_a 7.039
_cell_length_b 7.039
_cell_length_c 7.039
_cell_angle_alpha 90.00
_cell_angle_beta 90.00
_cell_angle_gamma 90.00
loop_
_atom_site_label
_atom_site_type_symbol
_atom_site_fract_x
_atom_site_fract_y
_atom_site_fract_z
Nd1 Nd 0.000 0.000 0.000
Ti1 Ti 0.250 0.250 0.250
Ni1 Ni 0.124 0.124 0.624
# **N(E_F)**: 0.960 states/eV/atom
# **Raw total energy**: -148.532 eV per cell
# **E_form**: -0.224 eV per atom


# 6
# GGA-PBE Nd2Dy4In5, relaxed
data_Nd2Dy4In5
_space_group_name_H-M_alt 'F m m m'
_space_group_IT_number 69
_space_group_name_Hall '-F 2 2'
_cell_length_a 6.394
_cell_length_b 10.603
_cell_length_c 20.648
_cell_angle_alpha 90.00
_cell_angle_beta 90.00
_cell_angle_gamma 90.00
loop_
_atom_site_label
_atom_site_type_symbol
_atom_site_fract_x
_atom_site_fract_y
_atom_site_fract_z
Nd1 Nd 0.000 0.000 0.110
Dy1 Dy 0.000 0.169 0.373
In1 In 0.000 0.000 0.500
In2 In 0.250 0.250 0.000
In3 In 0.250 0.250 0.250
# **N(E_F)**: 0.857 states/eV/atom
# **Raw total energy**: -172.975 eV per cell
# **E_form**: -0.146 eV per atom


# 7
# GGA-PBE NaScI2O, relaxed
data_NaScI2O
_space_group_name_H-M_alt 'P 4/m m m'
_space_group_IT_number 123
_space_group_name_Hall '-P 4 2'
_cell_length_a 5.596
_cell_length_b 5.596
_cell_length_c 4.124
_cell_angle_alpha 90.00
_cell_angle_beta 90.00
_cell_angle_gamma 90.00
loop_
_atom_site_label
_atom_site_type_symbol
_atom_site_fract_x
_atom_site_fract_y
_atom_site_fract_z
Na1 Na 0.000 0.000 0.000
Sc1 Sc 0.500 0.500 0.500
I1 I 0.000 0.500 0.000
O1 O 0.000 0.000 0.500
# **N(E_F)**: 1.656 states/eV/atom
# **Raw total energy**: -16.758 eV per cell
# **E_form (uncorrected)**: -0.21 eV per atom


# 8
# GGA-PBE BeCd2ReSe, relaxed
data_BeCd2ReSe
_space_group_name_H-M_alt 'P 4/m m m'
_space_group_IT_number 123
_space_group_name_Hall '-P 4 2'
_cell_length_a 5.407
_cell_length_b 5.407
_cell_length_c 3.801
_cell_angle_alpha 90.00
_cell_angle_beta 90.00
_cell_angle_gamma 90.00
loop_
_atom_site_label
_atom_site_type_symbol
_atom_site_fract_x
_atom_site_fract_y
_atom_site_fract_z
Be1 Be 0.000 0.000 0.000
Cd1 Cd 0.000 0.500 0.500
Re1 Re 0.500 0.500 0.000
Se1 Se 0.000 0.000 0.500
# **N(E_F)**: 0.998 states/eV/atom
# **Raw total energy**: -14.468 eV per cell
# **E_form (uncorrected)**: 1.40 eV per atom


Which formula does entry 4 have? CrAgRu2